# 1
{"formula": "SmScNi2", "functional": "GGA-PBE", "state": "optimized geometry", "lattice": [[4.6964, 0.0000, 0.0000], [2.3482, 4.0672, 0.0000], [2.3482, 1.3557, 3.8346]], "species": ["Ni", "Ni", "Sc", "Sm"], "fractional_positions": [[0.2500, 0.2500, 0.2500], [0.7500, 0.7500, 0.7500], [0.0000, 0.0000, 0.0000], [0.5000, 0.5000, 0.5000]], "formation_enthalpy_0k_mev_per_atom": -338, "space_group": "Fm-3m, No. 225", "de_polymorph_kj_per_mol_atoms": 5.6, "dos_at_fermi_per_ev_atom": 1.305, "energy_ev_per_atom": -5.991}


# 2
{"formula": "Ac3IrBr", "functional": "GGA-PBE", "state": "optimized geometry", "lattice": [[4.1641, 0.0000, -0.0001], [0.0000, 10.3309, 0.0000], [0.0001, 0.0000, 8.5706]], "species": ["Br", "Ac", "Br", "Ac", "Ir", "Ac", "Ir", "Ac", "Ac", "Ac"], "fractional_positions": [[0.7500, 0.2500, 0.4233], [0.7500, 0.9263, 0.8352], [0.2500, 0.7500, 0.5767], [0.7500, 0.5737, 0.8352], [0.7500, 0.2500, 0.9765], [0.2500, 0.2500, 0.7412], [0.2500, 0.7500, 0.0235], [0.2500, 0.4263, 0.1648], [0.2500, 0.0737, 0.1648], [0.7500, 0.7500, 0.2588]], "raw_formation_energy_ev_per_fu": -3.74, "space_group": "Pmmn, No. 59", "dos_at_fermi_per_ev_atom": 0.892, "energy_ev_per_atom": -5.320}


# 3
{"formula": "K2PrBO4", "functional": "GGA-PBE", "state": "optimized geometry", "lattice": [[5.3288, 0.0000, 0.0000], [2.6644, 5.6460, 0.0000], [2.6644, 0.0000, 12.3721]], "species": ["O", "Pr", "O", "K", "O", "O", "K", "K", "Pr", "O", "O", "O", "K", "B", "O", "B"], "fractional_positions": [[0.2938, 0.1661, 0.9294], [0.0000, 0.0000, 0.0000], [0.2098, 0.3339, 0.4294], [0.5589, 0.5000, 0.8821], [0.9732, 0.6661, 0.5706], [0.7768, 0.8339, 0.9294], [0.9411, 0.5000, 0.1179], [0.1911, 0.0000, 0.6179], [0.7500, 0.5000, 0.5000], [0.3892, 0.8339, 0.0706], [0.4562, 0.3339, 0.5706], [0.3608, 0.6661, 0.4294], [0.8089, 0.0000, 0.3821], [0.2500, 0.5000, 0.5000], [0.5402, 0.1661, 0.0706], [0.5000, 0.0000, 0.0000]], "raw_formation_energy_ev_per_fu": -15.22, "space_group": "Fddd, No. 70", "energy_ev_per_atom": -6.088}


# 4
{"formula": "Li2LaCdHg2", "functional": "GGA-PBE", "state": "optimized geometry", "lattice": [[-1.4380, 3.6527, 2.6586], [-2.5803, -1.3768, -3.7316], [-3.6344, -4.4570, 4.1575]], "species": ["Li", "La", "Hg", "Cd", "Li", "Hg"], "fractional_positions": [[0.6667, 0.3333, 0.3496], [0.0000, 0.0000, 0.0000], [0.6667, 0.3333, 0.7463], [0.0000, 0.0000, 0.5000], [0.3333, 0.6667, 0.6504], [0.3333, 0.6667, 0.2537]], "formation_enthalpy_0k_mev_per_atom": -380, "space_group": "P-3m1, No. 164", "dos_at_fermi_per_ev_atom": 0.921, "energy_ev_per_atom": -2.092}


# 5
{"formula": "FeNiOs", "functional": "GGA-PBE", "state": "optimized geometry", "lattice": [[-2.5001, -0.5781, 0.6116], [1.9552, -0.7302, 1.6133], [-0.5031, 5.4120, 3.0592]], "species": ["Ni", "Os", "Fe"], "fractional_positions": [[0.6667, 0.3333, 0.3254], [0.3333, 0.6667, 0.6699], [0.0000, 0.0000, 0.0047]], "formation_enthalpy_0k_mev_per_atom": 150, "space_group": "P3m1, No. 156", "de_polymorph_kj_per_mol_atoms": 4.9, "dos_at_fermi_per_ev_atom": 1.316, "energy_ev_per_atom": -8.341}


# 6
{"formula": "B5C7", "functional": "GGA-PBE", "state": "optimized geometry", "lattice": [[4.1392, -0.4369, -0.6845], [-2.6085, 4.1622, -0.5917], [0.0915, 0.2681, 4.6350]], "species": ["C", "C", "C", "C", "B", "B", "C", "C", "C", "B", "B", "B"], "fractional_positions": [[0.4006, 0.4017, 0.1213], [0.8620, 0.8722, 0.6390], [0.7005, 0.0224, 0.1143], [0.0085, 0.0085, 0.9894], [0.0398, 0.7450, 0.1590], [0.4635, 0.4588, 0.4868], [0.3113, 0.6452, 0.0096], [0.5640, 0.2144, 0.6144], [0.1658, 0.8498, 0.5165], [0.6664, 0.2955, 0.9700], [0.8622, 0.1540, 0.4767], [0.2054, 0.5824, 0.6530]], "formation_enthalpy_0k_mev_per_atom": 392, "space_group": "P1, No. 1", "de_polymorph_kj_per_mol_atoms": 13.0, "dos_at_fermi_per_ev_atom": 0.140, "energy_ev_per_atom": -7.771}


# 7
{"formula": "Ta2FeHg", "functional": "GGA-PBE", "state": "optimized geometry", "lattice": [[4.5984, 0.0000, 0.0000], [2.2992, 3.9823, 0.0000], [2.2992, 1.3274, 3.7546]], "species": ["Ta", "Ta", "Fe", "Hg"], "fractional_positions": [[0.0000, 0.0000, 0.0000], [0.7500, 0.7500, 0.7500], [0.5000, 0.5000, 0.5000], [0.2500, 0.2500, 0.2500]], "formation_enthalpy_0k_mev_per_atom": 515, "space_group": "F-43m, No. 216", "dos_at_fermi_per_ev_atom": 1.512, "energy_ev_per_atom": -7.603}


# 8
{"formula": "Ce2Nb3O10", "functional": "GGA-PBE", "state": "optimized geometry", "lattice": [[-4.6534, 2.4496, -2.5620], [-3.7221, -6.7879, 0.2704], [1.0688, 4.4797, 9.0200]], "species": ["O", "Ce", "O", "O", "Ce", "Nb", "O", "O", "O", "O", "O", "O", "O", "O", "Ce", "Nb", "Nb", "O", "Nb", "O", "O", "O", "Nb", "O", "Ce", "O", "O", "Nb", "O", "O"], "fractional_positions": [[0.2206, 0.3158, 0.4413], [0.5897, 0.7305, 0.1793], [0.8846, 0.2287, 0.7691], [0.0283, 0.2086, 0.0565], [0.4103, 0.2695, 0.8207], [0.9160, 0.5022, 0.8319], [0.1154, 0.7713, 0.2309], [0.5919, 0.4752, 0.7079], [0.9717, 0.7914, 0.9435], [0.3784, 0.0414, 0.2204], [0.7794, 0.6842, 0.5587], [0.7572, 0.5000, 0.0000], [0.6216, 0.9586, 0.7796], [0.8420, 0.0414, 0.2204], [0.3215, 0.6546, 0.6430], [0.7469, 0.0000, 0.0000], [0.8104, 0.9514, 0.6209], [0.4081, 0.5248, 0.2921], [0.1896, 0.0486, 0.3791], [0.0000, 0.0000, 0.5000], [0.5237, 0.2113, 0.0473], [0.4763, 0.7887, 0.9527], [0.0840, 0.4978, 0.1681], [0.5000, 0.0000, 0.5000], [0.6785, 0.3454, 0.3570], [0.2428, 0.5000, 0.0000], [0.1580, 0.9586, 0.7796], [0.2531, 0.0000, 0.0000], [0.8839, 0.5248, 0.2921], [0.1161, 0.4752, 0.7079]], "raw_formation_energy_ev_per_fu": -41.46, "space_group": "C2/m, No. 12", "dos_at_fermi_per_ev_atom": 0.889, "energy_ev_per_atom": -8.875}


# 9
{"formula": "Tl2SiAu", "functional": "GGA-PBE", "state": "optimized geometry", "lattice": [[4.4042, 0.0000, 0.0000], [0.0000, 5.1980, 0.0994], [0.0000, 2.3614, 4.6346]], "species": ["Si", "Au", "Tl", "Tl"], "fractional_positions": [[0.5000, 0.6850, 0.6850], [0.0000, 0.5665, 0.5664], [0.0000, 0.9358, 0.9360], [0.5000, 0.3127, 0.3126]], "raw_formation_energy_ev_per_fu": 0.44, "space_group": "Amm2, No. 38", "de_polymorph_kj_per_mol_atoms": 8.0, "dos_at_fermi_per_ev_atom": 0.442, "energy_ev_per_atom": -3.247}


# 10
{"formula": "DyTh2NpAs4", "functional": "GGA-PBE", "state": "optimized geometry", "lattice": [[-2.1561, -0.7105, -3.5378], [3.8146, -6.0888, -1.1020], [-5.8990, -1.5022, 3.8968]], "species": ["Dy", "Np", "As", "Th", "As", "Th", "As", "As"], "fractional_positions": [[0.0000, 0.0000, 0.0000], [0.5000, 0.5000, 0.0000], [0.5000, 0.7528, 0.7582], [0.5000, 0.0000, 0.5000], [0.5000, 0.2472, 0.2418], [0.0000, 0.5000, 0.5000], [0.0000, 0.2533, 0.7594], [0.0000, 0.7467, 0.2406]], "formation_enthalpy_0k_mev_per_atom": -1256, "space_group": "P2/m, No. 10", "dos_at_fermi_per_ev_atom": 1.679, "energy_ev_per_atom": -7.629}


# 11
{"formula": "FeMoW2", "functional": "GGA-PBE", "state": "optimized geometry", "lattice": [[-3.0922, -7.7870, -4.0449], [-0.4322, -7.9890, -4.7487], [-1.2854, -8.9237, -2.2971]], "species": ["Mo", "W", "Fe", "W"], "fractional_positions": [[0.7500, 0.7500, 0.7500], [0.9930, 0.9930, 0.9930], [0.2500, 0.2500, 0.2500], [0.5070, 0.5070, 0.5070]], "formation_enthalpy_0k_mev_per_atom": 390, "space_group": "R-3m, No. 166", "de_polymorph_kj_per_mol_atoms": 30.8, "dos_at_fermi_per_ev_atom": 1.030, "energy_ev_per_atom": -10.910}


# 12
{"formula": "Sr2TlH6Rh", "functional": "GGA-PBE", "state": "optimized geometry", "lattice": [[7.2451, 0.0000, 0.0000], [0.0000, 5.0087, 0.0000], [0.0000, -2.5044, 4.3377]], "species": ["Sr", "Tl", "H", "H", "Sr", "H", "H", "H", "H", "Rh"], "fractional_positions": [[0.2036, 0.3333, 0.6667], [0.5000, 0.0000, 0.0000], [0.8710, 0.6790, 0.8395], [0.1290, 0.3210, 0.1605], [0.7964, 0.6667, 0.3333], [0.1290, 0.8395, 0.6790], [0.8710, 0.1605, 0.8395], [0.8710, 0.1605, 0.3210], [0.1290, 0.8395, 0.1605], [0.0000, 0.0000, 0.0000]], "space_group": "P-3m1, No. 164", "dos_at_fermi_per_ev_atom": 0.256, "energy_ev_per_atom": -3.750}


# 13
{"formula": "Sc2Au2S", "functional": "GGA-PBE", "state": "optimized geometry", "lattice": [[-1.2686, 5.4264, -4.2745], [-4.6439, 2.5474, 4.6121], [3.0245, 2.1643, 1.8499]], "species": ["Au", "Au", "S", "Au", "Sc", "Au", "Sc", "Sc", "S", "Sc"], "fractional_positions": [[0.3636, 0.1364, 0.5000], [0.1364, 0.6364, 0.5000], [0.5000, 0.5000, 0.0000], [0.8636, 0.3636, 0.5000], [0.1723, 0.3277, 0.0000], [0.6364, 0.8636, 0.5000], [0.8277, 0.6723, 0.0000], [0.3277, 0.8277, 0.0000], [0.0000, 0.0000, 0.0000], [0.6723, 0.1723, 0.0000]], "raw_formation_energy_ev_per_fu": -4.45, "space_group": "P4/mbm, No. 127", "dos_at_fermi_per_ev_atom": 0.667, "energy_ev_per_atom": -5.558}


# 14
{"formula": "YTc2P", "functional": "GGA-PBE", "state": "optimized geometry", "lattice": [[7.0455, -1.7887, 0.0022], [7.0455, 1.7887, 0.0022], [6.5904, 0.0000, 3.0666]], "species": ["P", "Tc", "Y", "Tc"], "fractional_positions": [[0.0000, 0.0000, 0.0000], [0.2835, 0.2835, 0.2835], [0.5000, 0.5000, 0.5000], [0.7165, 0.7165, 0.7165]], "formation_enthalpy_0k_mev_per_atom": -125, "space_group": "R-3m, No. 166", "dos_at_fermi_per_ev_atom": 0.370, "energy_ev_per_atom": -8.276}


# 15
{"formula": "K2TlSnSe5", "functional": "GGA-PBE", "state": "optimized geometry", "lattice": [[-2.1772, -2.9046, 1.3619], [3.9795, -4.7084, -9.1988], [10.9047, -4.8080, 7.1785]], "species": ["Se", "Se", "K", "Se", "Se", "Sn", "Se", "Se", "K", "Se", "Tl", "Se", "Tl", "K", "K", "Sn", "Se", "Se"], "fractional_positions": [[0.4881, 0.9762, 0.2780], [0.7174, 0.4349, 0.1705], [0.1158, 0.2317, 0.2910], [0.6509, 0.3018, 0.4832], [0.3491, 0.6982, 0.9832], [0.4357, 0.8714, 0.4394], [0.3208, 0.6416, 0.3944], [0.6792, 0.3584, 0.8944], [0.8739, 0.7478, 0.1805], [0.5119, 0.0238, 0.7780], [0.2312, 0.4623, 0.0329], [0.9654, 0.9307, 0.5540], [0.7688, 0.5377, 0.5329], [0.8842, 0.7683, 0.7910], [0.1261, 0.2522, 0.6805], [0.5643, 0.1286, 0.9394], [0.2826, 0.5651, 0.6705], [0.0346, 0.0693, 0.0540]], "raw_formation_energy_ev_per_fu": -4.89, "space_group": "Cmc2_1, No. 36", "dos_at_fermi_per_ev_atom": 0.445, "energy_ev_per_atom": -3.431}


# 16
{"formula": "DyCu4Ni", "functional": "GGA-PBE", "state": "optimized geometry", "lattice": [[4.3627, 1.1924, -1.1622], [1.2357, 4.3327, 1.2272], [-1.4830, 1.4148, 6.8042]], "species": ["Cu", "Cu", "Ni", "Dy", "Cu", "Cu"], "fractional_positions": [[0.2616, 0.2381, 0.2618], [0.7384, 0.7619, 0.7382], [0.0000, 0.5000, 0.5000], [0.5000, 0.0000, 0.0000], [0.5000, 0.5000, 0.5000], [0.0000, 0.0000, 0.5000]], "formation_enthalpy_0k_mev_per_atom": 29, "space_group": "C2/m, No. 12", "dos_at_fermi_per_ev_atom": 0.386, "energy_ev_per_atom": -4.432}


# 17
{"formula": "TlCuRu", "functional": "GGA-PBE", "state": "optimized geometry", "lattice": [[4.2472, 0.0000, 0.0000], [2.1236, 3.6782, 0.0000], [2.1236, 1.2261, 3.4679]], "species": ["Cu", "Ru", "Tl"], "fractional_positions": [[0.2500, 0.2500, 0.2500], [0.0000, 0.0000, 0.0000], [0.5000, 0.5000, 0.5000]], "formation_enthalpy_0k_mev_per_atom": 699, "space_group": "F-43m, No. 216", "de_polymorph_kj_per_mol_atoms": 14.7, "dos_at_fermi_per_ev_atom": 0.597, "energy_ev_per_atom": -4.547}


# 18
{"formula": "Pr4TmBi5", "functional": "GGA-PBE", "state": "optimized geometry", "lattice": [[-0.1483, 3.3569, 5.5828], [-6.6638, -1.0367, 4.2489], [3.0030, -3.9344, 6.2480]], "species": ["Bi", "Pr", "Pr", "Bi", "Pr", "Bi", "Bi", "Bi", "Pr", "Tm"], "fractional_positions": [[0.2935, 0.8059, 0.6090], [0.2001, 0.2040, 0.3976], [0.8017, 0.7960, 0.6024], [0.0994, 0.6090, 0.1941], [0.5977, 0.6024, 0.2040], [0.9025, 0.3910, 0.8059], [0.7084, 0.1941, 0.3910], [0.5014, 0.0000, 0.0000], [0.4041, 0.3976, 0.7960], [0.0015, 0.0000, 0.0000]], "formation_enthalpy_0k_mev_per_atom": -914, "space_group": "I4/m, No. 87", "dos_at_fermi_per_ev_atom": 0.159, "energy_ev_per_atom": -5.214}


# 19
{"formula": "TiBPd3", "functional": "GGA-PBE", "state": "optimized geometry", "lattice": [[-1.8108, 1.4992, 3.4616], [-1.2746, -3.8570, 1.0037], [3.5504, -0.6201, 2.1258]], "species": ["Pd", "Pd", "B", "Ti", "Pd"], "fractional_positions": [[0.0000, 0.5000, 0.0000], [0.0000, 0.0000, 0.5000], [0.0000, 0.0000, 0.0000], [0.5000, 0.5000, 0.5000], [0.5000, 0.0000, 0.0000]], "formation_enthalpy_0k_mev_per_atom": -158, "space_group": "Pm-3m, No. 221", "de_polymorph_kj_per_mol_atoms": 0.0, "dos_at_fermi_per_ev_atom": 1.981, "energy_ev_per_atom": -6.188}


# 20
{"formula": "BeNb3Pb", "functional": "GGA-PBE", "state": "optimized geometry", "lattice": [[-0.3646, 4.4331, -0.7426], [-3.2725, -0.7725, -3.0051], [-3.0813, 0.2960, 3.2795]], "species": ["Nb", "Nb", "Pb", "Nb", "Be"], "fractional_positions": [[0.5000, 0.0000, 0.0000], [0.0000, 0.5000, 0.0000], [0.5000, 0.5000, 0.5000], [0.0000, 0.0000, 0.5000], [0.0000, 0.0000, 0.0000]], "formation_enthalpy_0k_mev_per_atom": 410, "space_group": "Pm-3m, No. 221", "de_polymorph_kj_per_mol_atoms": 0.0, "dos_at_fermi_per_ev_atom": 1.160, "energy_ev_per_atom": -7.118}


# 21
{"formula": "MgZr2BeAs", "functional": "GGA-PBE", "state": "optimized geometry", "lattice": [[-2.9021, 1.3907, -3.9341], [-1.1794, -3.9714, -0.5338], [-3.9181, 0.7399, 3.1518]], "species": ["Be", "As", "Zr", "Mg", "Zr"], "fractional_positions": [[0.0000, 0.5000, 0.0000], [0.5000, 0.5000, 0.5000], [0.5000, 0.0000, 0.0000], [0.0000, 0.0000, 0.0000], [0.0000, 0.0000, 0.5000]], "formation_enthalpy_0k_mev_per_atom": 940, "space_group": "P4/mmm, No. 123", "dos_at_fermi_per_ev_atom": 0.822, "energy_ev_per_atom": -4.474}


# 22
{"formula": "Cs2HfTe3O12", "functional": "GGA-PBE", "state": "optimized geometry", "lattice": [[-4.0094, 5.9644, 1.9044], [-3.8043, 0.1436, 6.3862], [2.1423, 4.3906, 5.6044]], "species": ["O", "Te", "O", "O", "O", "Cs", "O", "O", "O", "O", "O", "O", "O", "Cs", "O", "Hf", "Te", "Te"], "fractional_positions": [[0.0730, 0.6790, 0.6790], [0.5000, 0.0000, 0.0000], [0.3301, 0.9335, 0.9335], [0.9335, 0.9335, 0.3301], [0.3210, 0.3210, 0.9270], [0.3729, 0.3729, 0.3729], [0.6790, 0.0730, 0.6790], [0.9335, 0.3301, 0.9335], [0.6699, 0.0665, 0.0665], [0.0665, 0.6699, 0.0665], [0.3210, 0.9270, 0.3210], [0.6790, 0.6790, 0.0730], [0.9270, 0.3210, 0.3210], [0.6271, 0.6271, 0.6271], [0.0665, 0.0665, 0.6699], [0.0000, 0.0000, 0.0000], [0.0000, 0.5000, 0.0000], [0.0000, 0.0000, 0.5000]], "raw_formation_energy_ev_per_fu": -29.37, "space_group": "R-3m, No. 166", "energy_ev_per_atom": -6.109}


# 23
{"formula": "Sm4Cd3", "functional": "GGA-PBE", "state": "optimized geometry", "lattice": [[5.1141, 0.0000, 1.5243], [2.3299, 4.5525, 1.5243], [0.0835, 0.0511, 9.0608]], "species": ["Sm", "Sm", "Cd", "Cd", "Sm", "Sm", "Cd"], "fractional_positions": [[0.3825, 0.3825, 0.8525], [0.8704, 0.8704, 0.3888], [0.0000, 0.0000, 0.0000], [0.2547, 0.2547, 0.2358], [0.6175, 0.6175, 0.1475], [0.1296, 0.1296, 0.6112], [0.7453, 0.7453, 0.7642]], "formation_enthalpy_0k_mev_per_atom": -155, "space_group": "R-3m, No. 166", "de_polymorph_kj_per_mol_atoms": 7.6, "dos_at_fermi_per_ev_atom": 1.370, "energy_ev_per_atom": -3.244}


# 24
{"formula": "TaMnRe4", "functional": "GGA-PBE", "state": "optimized geometry", "lattice": [[1.7675, -1.6067, 4.5890], [-2.7917, -3.3082, 2.8331], [1.5957, -4.8856, 0.5910]], "species": ["Re", "Mn", "Re", "Ta", "Re", "Re"], "fractional_positions": [[0.8770, 0.3743, 0.3743], [0.0000, 0.0000, 0.0000], [0.3743, 0.3743, 0.3743], [0.7500, 0.7500, 0.7500], [0.3743, 0.3743, 0.8770], [0.3743, 0.8770, 0.3743]], "formation_enthalpy_0k_mev_per_atom": 131, "space_group": "F-43m, No. 216", "dos_at_fermi_per_ev_atom": 0.795, "energy_ev_per_atom": -11.671}